[1]
Density functional theory data (PBE-GGA) for a relaxed SrSm3Rh crystal.

a = 5.6221 Å, b = 5.6221 Å, c = 5.6221 Å
α = 90.00°, β = 90.00°, γ = 90.00°
Closest atoms and distances in Å follow each position.
Atoms (fractional coordinates):
Sr: 0.5000 0.5000 0.5000  12 Sm 3.98
Rh: 0.0000 0.0000 0.0000  6 Sm 2.81
Sm: 0.0000 0.5000 0.0000  2 Rh 2.81
Sm: 0.0000 0.0000 0.5000  2 Rh 2.81
Sm: 0.5000 0.0000 0.0000  2 Rh 2.81

Summary:
Volume ... 35.54 A^3/atom
Electronic total energy ... -4.870 eV/atom
Energy relative to the elements ... -0.2322 eV per atom

[2]
Density functional theory data (PBE-GGA) for a relaxed NbGe2S6 crystal.

a = 6.3369 Å, b = 8.1462 Å, c = 8.1462 Å
α = 84.89°, β = 81.81°, γ = 81.81°
Closest atoms and distances in Å follow each position.
Atoms (fractional coordinates):
Nb: 0.2500 0.1256 0.8744  4 S 2.33-2.49
Nb: 0.7500 0.8744 0.1256  4 S 2.33-2.49
Ge: 0.1618 0.6213 0.7772  4 S 2.25-2.30
Ge: 0.3382 0.2228 0.3787  4 S 2.25-2.30
Ge: 0.8382 0.3787 0.2228  4 S 2.25-2.30
Ge: 0.6618 0.7772 0.6213  4 S 2.25-2.30
S: 0.3605 0.7099 0.5432  2 Ge 2.25
S: 0.1395 0.4568 0.2901  2 Ge 2.25
S: 0.6395 0.2901 0.4568  2 Ge 2.25
S: 0.8605 0.5432 0.7099  2 Ge 2.25
S: 0.8574 0.8815 0.3869  1 Ge 2.29, 1 Nb 2.33
S: 0.6426 0.6131 0.1185  1 Ge 2.29, 1 Nb 2.33
S: 0.1426 0.1185 0.6131  1 Ge 2.29, 1 Nb 2.33
S: 0.3574 0.3869 0.8815  1 Ge 2.29, 1 Nb 2.33
S: 0.1156 0.8189 0.9680  1 Ge 2.30, 1 Nb 2.49
S: 0.3844 0.0320 0.1811  1 Ge 2.30, 1 Nb 2.49
S: 0.8844 0.1811 0.0320  1 Ge 2.30, 1 Nb 2.49
S: 0.6156 0.9680 0.8189  1 Ge 2.30, 1 Nb 2.49

Summary:
Volume ... 22.83 A^3/atom
Electronic total energy ... -5.309 eV/atom
E_form (uncorrected) ... -0.413 eV/atom

[3]
Density functional theory data (PBE-GGA) for a relaxed GeBN2 crystal.

a = 5.2632 Å, b = 5.2632 Å, c = 5.2632 Å
α = 35.07°, β = 35.07°, γ = 35.07°
Closest atoms and distances in Å follow each position.
Atoms (fractional coordinates):
Ge: 0.5000 0.5000 0.5000  6 N 2.14
B: 0.0000 0.0000 0.0000  2 N 1.36
N: 0.9083 0.9083 0.9083  1 B 1.36
N: 0.0917 0.0917 0.0917  1 B 1.36

Summary:
Relative energy among the computed polymorphs ... 2 meV per atom
Volume ... 10.75 A^3/atom
Electronic total energy ... -6.935 eV/atom
E_form (uncorrected) ... 0.052 eV/atom